[1]
# DyCd2In | Alexandria via LeMat-Bulk | PBE | optimized geometry
# Energy relative to the elements: -0.22 eV/atom
# Energy above the most stable polymorph in this dataset: 94 meV/atom
# Crystal system: cubic
data_DyCd2In
_cell_length_a 5.1549
_cell_length_b 5.1549
_cell_length_c 5.1549
_cell_angle_alpha 60.00
_cell_angle_beta 60.00
_cell_angle_gamma 60.00
_space_group_name_H-M_alt 'P 1'
_space_group_IT_number 1
loop_
_space_group_symop_operation_xyz
'x,y,z'
loop_
_atom_site_label
_atom_site_fract_x
_atom_site_fract_y
_atom_site_fract_z
_atom_site_occupancy
Dy1 0.0000 0.0000 0.0000 1
Cd1 0.2500 0.2500 0.2500 1
Cd2 0.7500 0.7500 0.7500 1
In1 0.5000 0.5000 0.5000 1

---

[2]
# ZrSiPdO2 | Alexandria via LeMat-Bulk | PBE | optimized geometry
# Formation energy without anion corrections: -1.087 eV/atom
# Crystal system: tetragonal
data_ZrSiPdO2
_cell_length_a 3.9892
_cell_length_b 3.9892
_cell_length_c 5.7492
_cell_angle_alpha 90.00
_cell_angle_beta 90.00
_cell_angle_gamma 90.00
_space_group_name_H-M_alt 'P 1'
_space_group_IT_number 1
loop_
_space_group_symop_operation_xyz
'x,y,z'
loop_
_atom_site_label
_atom_site_fract_x
_atom_site_fract_y
_atom_site_fract_z
_atom_site_occupancy
Zr1 0.0000 0.0000 0.0000 1
Si1 0.5000 0.5000 0.5000 1
Pd1 0.0000 0.0000 0.5000 1
O1 0.0000 0.5000 0.0000 1
O2 0.5000 0.0000 0.0000 1

---

[3]
# AcMg2Cd4Hg | Alexandria via LeMat-Bulk | PBE | optimized geometry
# Energy relative to the elements: -0.16 eV/atom
# Crystal system: trigonal
data_AcMg2Cd4Hg
_cell_length_a 10.2100
_cell_length_b 10.2100
_cell_length_c 10.2100
_cell_angle_alpha 27.89
_cell_angle_beta 27.89
_cell_angle_gamma 27.89
_space_group_name_H-M_alt 'P 1'
_space_group_IT_number 1
loop_
_space_group_symop_operation_xyz
'x,y,z'
loop_
_atom_site_label
_atom_site_fract_x
_atom_site_fract_y
_atom_site_fract_z
_atom_site_occupancy
Ac1 0.0000 0.0000 0.0000 1
Mg1 0.2449 0.2449 0.2449 1
Mg2 0.7551 0.7551 0.7551 1
Cd1 0.1252 0.1252 0.1252 1
Cd2 0.3972 0.3972 0.3972 1
Cd3 0.6028 0.6028 0.6028 1
Cd4 0.8748 0.8748 0.8748 1
Hg1 0.5000 0.5000 0.5000 1

---

[4]
# LaTbSm2As4 | Alexandria via LeMat-Bulk | PBE | optimized geometry
# Energy relative to the elements: -1.53 eV/atom
# Crystal system: monoclinic
data_LaTbSm2As4
_cell_length_a 7.3365
_cell_length_b 4.2404
_cell_length_c 7.3385
_cell_angle_alpha 90.00
_cell_angle_beta 109.43
_cell_angle_gamma 90.00
_space_group_name_H-M_alt 'P 1'
_space_group_IT_number 1
loop_
_space_group_symop_operation_xyz
'x,y,z'
loop_
_atom_site_label
_atom_site_fract_x
_atom_site_fract_y
_atom_site_fract_z
_atom_site_occupancy
La1 0.0000 0.0000 0.0000 1
Tb1 0.5000 0.5000 0.0000 1
Sm1 0.0000 0.5000 0.5000 1
Sm2 0.5000 0.0000 0.5000 1
As1 0.2555 0.0000 0.7506 1
As2 0.2566 0.5000 0.2535 1
As3 0.7434 0.5000 0.7465 1
As4 0.7445 0.0000 0.2494 1

---

| no. | total magnetization (μB/atom) |
| --- | --- |
| 1 | 0.000 |
| 2 | 0.000 |
| 3 | 0.000 |
| 4 | 0.000 |